(1)
DFT (PBEsol) results for a relaxed NaCa2GaTc crystal.

Cell: 5.341 5.341 4.806 Å, 90.00 90.00 90.00°
Sites, in units of the cell vectors:
Na1 0.000 0.000 0.000
Ca1 0.000 0.500 0.000
Ca2 0.500 0.000 0.000
Ga1 0.000 0.000 0.500
Tc1 0.500 0.500 0.500

Results
Energy ... -2.7541 eV/atom
N(E_F) ... 1.18 states/eV/atom
SG ... P4/mmm (123)
Energy relative to the elements ... 6.50 eV/f.u.

(2)
DFT (PBEsol) results for a relaxed BaMgW2 crystal.

Cell: 4.052 4.052 5.105 Å, 90.00 90.00 90.00°
Sites, in units of the cell vectors:
Ba1 0.000 0.000 0.000
Mg1 0.500 0.500 0.000
W1 0.000 0.500 0.500
W2 0.500 0.000 0.500

Results
Energy ... -6.3799 eV/atom
N(E_F) ... 0.91 states/eV/atom
SG ... P4/mmm (123)
Energy relative to the elements ... 5.96 eV/f.u.

(3)
DFT (PBEsol) results for a relaxed RbCdBr3 crystal.

Cell: 9.333 4.192 15.656 Å, 90.00 90.00 90.00°
Sites, in units of the cell vectors:
Rb1 0.071 0.250 0.174
Rb2 0.429 0.750 0.674
Rb3 0.571 0.250 0.326
Rb4 0.929 0.750 0.826
Cd1 0.165 0.750 0.443
Cd2 0.335 0.250 0.943
Cd3 0.665 0.750 0.057
Cd4 0.835 0.250 0.557
Br1 0.028 0.750 0.601
Br2 0.166 0.750 0.004
Br3 0.214 0.250 0.790
Br4 0.286 0.750 0.290
Br5 0.334 0.250 0.504
Br6 0.472 0.250 0.101
Br7 0.528 0.750 0.899
Br8 0.666 0.750 0.496
Br9 0.714 0.250 0.710
Br10 0.786 0.750 0.210
Br11 0.834 0.250 0.996
Br12 0.972 0.250 0.399

Results
Energy ... -2.7846 eV/atom
Formation energy from raw total energies ... -1.22 eV/atom
N(E_F) ... 0.00 states/eV/atom
SG ... Pnma (62)

(4)
DFT (PBEsol) results for a relaxed ReNiTe2 crystal.

Cell: 3.780 3.780 6.155 Å, 90.00 90.00 90.00°
Sites, in units of the cell vectors:
Re1 0.000 0.000 0.000
Ni1 0.500 0.500 0.000
Te1 0.000 0.500 0.287
Te2 0.500 0.000 0.713

Results
Energy ... -6.5105 eV/atom
Formation energy from raw total energies ... 0.12 eV/atom
N(E_F) ... 0.54 states/eV/atom
SG ... P-4m2 (115)

(5)
DFT (PBEsol) results for a relaxed TePt2Cl crystal.

Cell: 2.927 3.661 7.284 Å, 90.00 90.10 90.00°
Sites, in units of the cell vectors:
Te1 0.000 0.000 0.000
Pt1 0.000 0.500 0.255
Pt2 0.000 0.500 0.745
Cl1 0.000 0.000 0.500

Results
Energy ... -4.7234 eV/atom
Formation energy from raw total energies ... 0.14 eV/atom
N(E_F) ... 0.50 states/eV/atom
SG ... P2/m (10)

(6)
DFT (PBEsol) results for a relaxed Be2Hg2B crystal.

Cell: 6.266 6.266 3.700 Å, 90.00 90.00 90.00°
Sites, in units of the cell vectors:
Be1 0.126 0.374 0.000
Be2 0.374 0.874 0.000
Be3 0.626 0.126 0.000
Be4 0.874 0.626 0.000
Hg1 0.176 0.676 0.500
Hg2 0.324 0.176 0.500
Hg3 0.676 0.824 0.500
Hg4 0.824 0.324 0.500
B1 0.000 0.000 0.500
B2 0.500 0.500 0.500

Results
Energy ... -2.2482 eV/atom
N(E_F) ... 0.36 states/eV/atom
SG ... P4/mbm (127)
Energy relative to the elements ... 4.91 eV/f.u.